Cs2RbBaAg: relaxed, PBE-GGA.

Summary:
DFT formation energy: 64 meV per atom
Symmetry: P4/mmm, No. 123
Spin magnetization: 0.00 μB per cell

```
Cs2RbBaAg
1.0
7.447 0.000 0.000
0.000 7.447 0.000
0.000 0.000 6.800
Cs Rb Ba Ag
2 1 1 1
Direct
0.000 0.500 0.000 Cs
0.500 0.000 0.000 Cs
0.000 0.000 0.500 Rb
0.500 0.500 0.500 Ba
0.500 0.500 0.000 Ag
```